No. 1
Computed, not measured: a relaxed structure of CsInCo2Bi at the GGA-PBEsol level of DFT.

Computed properties:
DFT formation energy   1.239 eV/atom
Electronic total energy   -3.50 eV/atom
DOS(E_F)   1.235 states/eV/atom
Total moment   2.8 μB per formula unit

CIF file:
```
data_CsInCo2Bi
_chemical_formula_sum 'Cs1 In1 Co2 Bi1'
_symmetry_space_group_name_H-M 'P 4/m m m'
_symmetry_Int_Tables_number 123
_symmetry_space_group_name_Hall '-P 4 2'
_cell_length_a 4.950
_cell_length_b 4.950
_cell_length_c 6.720
_cell_angle_alpha 90.00
_cell_angle_beta 90.00
_cell_angle_gamma 90.00
loop_
_atom_site_label
_atom_site_type_symbol
_atom_site_fract_x
_atom_site_fract_y
_atom_site_fract_z
Cs1 Cs 0.000 0.000 0.000
In1 In 0.500 0.500 0.000
Co1 Co 0.000 0.500 0.500
Bi1 Bi 0.000 0.000 0.500
```

No. 2
Computed, not measured: a relaxed structure of K3InI6O18 at the GGA-PBEsol level of DFT.

Computed properties:
Electronic total energy   -4.81 eV/atom
Energy relative to the elements, uncorrected   -827 meV per atom
DOS(E_F)   0.000 states/eV/atom
Total moment   0.0 μB per formula unit

CIF file:
```
data_K3InI6O18
_chemical_formula_sum 'K3 In1 I6 O18'
_symmetry_space_group_name_H-M 'P -1'
_symmetry_Int_Tables_number 2
_cell_length_a 6.791
_cell_length_b 6.968
_cell_length_c 10.485
_cell_angle_alpha 98.68
_cell_angle_beta 108.01
_cell_angle_gamma 102.27
loop_
_symmetry_equiv_pos_as_xyz
'x,y,z'
'-x,-y,-z'
loop_
_atom_site_label
_atom_site_type_symbol
_atom_site_fract_x
_atom_site_fract_y
_atom_site_fract_z
K1 K 0.000 0.000 0.000
K2 K 0.370 0.033 0.794
In1 In 0.000 0.500 0.500
I1 I 0.138 0.548 0.881
I2 I 0.221 0.975 0.401
I3 I 0.429 0.469 0.308
O1 O 0.008 0.850 0.235
O2 O 0.041 0.613 0.710
O3 O 0.116 0.825 0.511
O4 O 0.123 0.432 0.097
O5 O 0.295 0.802 0.973
O6 O 0.316 0.458 0.536
O7 O 0.380 0.194 0.268
O8 O 0.424 0.848 0.380
O9 O 0.435 0.467 0.812
```

No. 3
Computed, not measured: a relaxed structure of CuNiPb at the GGA-PBEsol level of DFT.

Computed properties:
DFT formation energy   0.322 eV/atom
Electronic total energy   -4.51 eV/atom
DOS(E_F)   0.604 states/eV/atom
ΔE to the lowest computed polymorph   75 meV/atom
Total moment   0.0 μB per formula unit

CIF file:
```
data_CuNiPb
_chemical_formula_sum 'Cu1 Ni1 Pb1'
_symmetry_space_group_name_H-M 'P 3 m 1'
_symmetry_Int_Tables_number 156
_cell_length_a 4.1016
_cell_length_b 4.1016
_cell_length_c 3.3078
_cell_angle_alpha 90.00
_cell_angle_beta 90.00
_cell_angle_gamma 120.00
loop_
_symmetry_equiv_pos_as_xyz
'x,y,z'
'-y,x-y,z'
'-x+y,-x,z'
'-y,-x,z'
'-x+y,y,z'
'x,x-y,z'
loop_
_atom_site_label
_atom_site_type_symbol
_atom_site_fract_x
_atom_site_fract_y
_atom_site_fract_z
Cu1 Cu 0.0000 0.0000 0.0000
Ni1 Ni 0.3333 0.6667 0.9280
Pb1 Pb 0.6667 0.3333 0.4642
```